The following is a DFT calculation (GGA-PBE) of crystalline BiPdS2 at its relaxed geometry.

Output
Fermi-level density of states, states/eV/atom: 0.715
Formation energy (no corrections), kJ per mole of atoms: -13.4
SG: No. 166

a b c (Å): 8.4270 8.4270 8.4270
angles (deg): 24.78 24.78 24.78
With the nearest neighbours (Å) after each atom.
Positions (direct):
Bi1 0.0000 0.0000 0.0000  2 S 2.82
Pd1 0.5000 0.5000 0.5000  6 S 2.44
S1 0.1151 0.1151 0.1151  3 Pd 2.44
S2 0.8849 0.8849 0.8849  3 Pd 2.44

=====

The following is a DFT calculation (GGA-PBE) of crystalline Bi2Pd6S at its relaxed geometry.

Output
Fermi-level density of states, states/eV/atom: 0.568
Formation energy (no corrections), kJ per mole of atoms: -12.9
SG: No. 12

a b c (Å): 7.1923 7.1923 4.2122
angles (deg): 97.93 97.93 55.55
With the nearest neighbours (Å) after each atom.
Positions (direct):
Bi1 0.1692 0.1692 0.0828  8 Pd 2.82-2.89
Bi2 0.8308 0.8308 0.9172  8 Pd 2.82-2.89
Pd1 0.1322 0.5656 0.4180  1 S 2.39
Pd2 0.2870 0.7130 0.0000  2 S 2.54, 2 Pd 2.80
Pd3 0.4344 0.8678 0.5820  1 S 2.39
Pd4 0.5656 0.1322 0.4180  1 S 2.39
Pd5 0.7130 0.2870 0.0000  2 S 2.54, 2 Pd 2.80
Pd6 0.8678 0.4344 0.5820  1 S 2.39
S1 0.5000 0.5000 0.5000  8 Pd 2.39-2.54

=====

The following is a DFT calculation (GGA-PBE) of crystalline Bi2Pd8S at its relaxed geometry.

Output
Fermi-level density of states, states/eV/atom: 0.497
Formation energy (no corrections), kJ per mole of atoms: -18.9
SG: No. 71

a b c (Å): 7.9100 7.9100 7.9100
angles (deg): 145.57 136.03 57.01
With the nearest neighbours (Å) after each atom.
Positions (direct):
Bi1 0.1800 0.1800 0.0000  12 Pd 2.86-3.09
Bi2 0.8200 0.8200 0.0000  12 Pd 2.86-3.09
Pd1 0.1192 0.3740 0.7452  1 S 2.31
Pd2 0.2651 0.0000 0.2651  2 S 2.72, 7 Pd 2.78-3.03, 2 Bi 2.95
Pd3 0.3064 0.8064 0.5000  8 Pd 2.90-3.03, 4 Bi 2.93-2.97
Pd4 0.3712 0.6260 0.7452  1 S 2.31
Pd5 0.6288 0.3740 0.2548  1 S 2.31
Pd6 0.6936 0.1936 0.5000  8 Pd 2.90-3.03, 4 Bi 2.93-2.97
Pd7 0.7349 0.0000 0.7349  2 S 2.72, 7 Pd 2.78-3.03, 2 Bi 2.95
Pd8 0.8808 0.6260 0.2548  1 S 2.31
S1 0.5000 0.5000 0.0000  4 Pd 2.31

=====

The following is a DFT calculation (GGA-PBE) of crystalline Bi2Pd3S at its relaxed geometry.

Output
Fermi-level density of states, states/eV/atom: 0.431
Formation energy (no corrections), kJ per mole of atoms: -21.2
SG: No. 15

a b c (Å): 6.5557 6.5557 7.6963
angles (deg): 107.08 107.08 50.74
With the nearest neighbours (Å) after each atom.
Positions (direct):
Bi1 0.1774 0.1871 0.0919  6 Pd 2.85-3.02
Bi2 0.1871 0.1774 0.5919  6 Pd 2.85-3.02
Bi3 0.8129 0.8226 0.4081  6 Pd 2.85-3.02
Bi4 0.8226 0.8129 0.9081  6 Pd 2.85-3.02
Pd1 0.1932 0.8068 0.7500  1 S 2.51
Pd2 0.3720 0.3727 0.4364  2 S 2.52
Pd3 0.3727 0.3720 0.9364  2 S 2.52
Pd4 0.6273 0.6280 0.0636  2 S 2.52
Pd5 0.6280 0.6273 0.5636  2 S 2.52
Pd6 0.8068 0.1932 0.2500  1 S 2.51
S1 0.3608 0.6392 0.2500  5 Pd 2.51-2.52
S2 0.6392 0.3608 0.7500  5 Pd 2.51-2.52

=====

The following is a DFT calculation (GGA-PBE) of crystalline BiPd4S at its relaxed geometry.

Output
Fermi-level density of states, states/eV/atom: 0.512
Formation energy (no corrections), kJ per mole of atoms: -18.1
SG: No. 2

a b c (Å): 4.8908 5.5126 8.4779
angles (deg): 71.09 78.59 89.94
With the nearest neighbours (Å) after each atom.
Positions (direct):
Bi1 0.2504 0.2258 0.9999  8 Pd 2.80-2.99
Bi2 0.7496 0.7742 0.0001  8 Pd 2.80-2.99
Pd1 0.1427 0.9586 0.3514  2 S 2.40-2.46
Pd2 0.1825 0.5508 0.1998  1 S 2.45
Pd3 0.3172 0.7514 0.8002  1 S 2.45
Pd4 0.3574 0.3110 0.6483  2 S 2.40-2.46
Pd5 0.6426 0.6890 0.3517  2 S 2.40-2.46
Pd6 0.6828 0.2486 0.1998  1 S 2.45
Pd7 0.8175 0.4492 0.8002  1 S 2.45
Pd8 0.8573 0.0414 0.6486  2 S 2.40-2.46
S1 0.0000 0.5000 0.5000  6 Pd 2.40-2.46
S2 0.5000 0.0000 0.5000  6 Pd 2.40-2.46

=====

The following is a DFT calculation (GGA-PBE) of crystalline BiPdS3 at its relaxed geometry.

Output
Fermi-level density of states, states/eV/atom: 1.344
Formation energy (no corrections), kJ per mole of atoms: 89.8
SG: No. 221
Energy relative to the lowest polymorph listed for this composition, eV per atom: 1.156

a b c (Å): 5.2112 5.2112 5.2112
angles (deg): 90.00 90.00 90.00
With the nearest neighbours (Å) after each atom.
Positions (direct):
Bi1 0.0000 0.0000 0.0000  6 S 2.61
Pd1 0.5000 0.5000 0.5000  12 S 3.68
S1 0.0000 0.0000 0.5000  2 Bi 2.61
S2 0.0000 0.5000 0.0000  2 Bi 2.61
S3 0.5000 0.0000 0.0000  2 Bi 2.61

=====

The following is a DFT calculation (GGA-PBE) of crystalline BiPdS2 at its relaxed geometry.

Output
Fermi-level density of states, states/eV/atom: 1.272
Formation energy (no corrections), kJ per mole of atoms: -2.0
SG: No. 166

a b c (Å): 7.9308 7.9308 7.9308
angles (deg): 29.88 29.88 29.88
With the nearest neighbours (Å) after each atom.
Positions (direct):
Bi1 0.0000 0.0000 0.0000  6 S 2.81
Pd1 0.5000 0.5000 0.5000  2 S 2.26
S1 0.4005 0.4005 0.4005  1 Pd 2.26
S2 0.5995 0.5995 0.5995  1 Pd 2.26

=====

The following is a DFT calculation (GGA-PBE) of crystalline BiPd3S at its relaxed geometry.

Output
Fermi-level density of states, states/eV/atom: 0.659
Formation energy (no corrections), kJ per mole of atoms: 89.9
SG: No. 221
Energy relative to the lowest polymorph listed for this composition, eV per atom: 1.060

a b c (Å): 5.0608 5.0608 5.0608
angles (deg): 90.00 90.00 90.00
With the nearest neighbours (Å) after each atom.
Positions (direct):
Bi1 0.0000 0.0000 0.0000  6 Pd 2.53
Pd1 0.0000 0.0000 0.5000  2 Bi 2.53
Pd2 0.0000 0.5000 0.0000  2 Bi 2.53
Pd3 0.5000 0.0000 0.0000  2 Bi 2.53
S1 0.5000 0.5000 0.5000  12 Pd 3.58

=====

The following is a DFT calculation (GGA-PBE) of crystalline Bi2PdS3 at its relaxed geometry.

Output
Fermi-level density of states, states/eV/atom: 0.491
Formation energy (no corrections), kJ per mole of atoms: -13.3
SG: No. 12

a b c (Å): 7.4139 7.4139 3.6343
angles (deg): 102.79 102.79 43.67
With the nearest neighbours (Å) after each atom.
Positions (direct):
Bi1 0.1660 0.1660 0.1543  4 S 2.82-2.88
Bi2 0.8340 0.8340 0.8457  4 S 2.82-2.88
Pd1 0.5000 0.5000 0.5000  4 S 2.44-2.47
S1 0.0000 0.0000 0.5000  2 Pd 2.76, 4 Bi 2.86-2.88
S2 0.3765 0.3765 0.8936  2 Pd 2.44-2.47
S3 0.6235 0.6235 0.1064  2 Pd 2.44-2.47

=====

The following is a DFT calculation (GGA-PBE) of crystalline BiPdS2 at its relaxed geometry.

Output
Fermi-level density of states, states/eV/atom: 0.518
Formation energy (no corrections), kJ per mole of atoms: -14.4
SG: No. 31

a b c (Å): 4.4786 7.0467 6.1534
angles (deg): 90.00 90.00 90.00
With the nearest neighbours (Å) after each atom.
Positions (direct):
Bi1 0.0000 0.1557 0.0000  4 S 2.69-2.83, 1 Pd 2.90
Bi2 0.5000 0.8443 0.5000  4 S 2.69-2.83, 1 Pd 2.90
Pd1 0.0000 0.4006 0.6211  4 S 2.43-2.45
Pd2 0.5000 0.5994 0.1211  4 S 2.43-2.45
S1 0.0000 0.0871 0.4508  1 Pd 2.45
S2 0.0000 0.5376 0.9830  3 Pd 2.43, 1 Bi 2.69
S3 0.5000 0.4624 0.4830  3 Pd 2.43, 1 Bi 2.69
S4 0.5000 0.9129 0.9508  1 Pd 2.45

=====

The following is a DFT calculation (GGA-PBE) of crystalline Bi2Pd5S2 at its relaxed geometry.

Output
Fermi-level density of states, states/eV/atom: 0.618
Formation energy (no corrections), kJ per mole of atoms: -15.6
SG: No. 12

a b c (Å): 6.7177 6.7177 7.6604
angles (deg): 121.17 121.17 40.02
With the nearest neighbours (Å) after each atom.
Positions (direct):
Bi1 0.1235 0.1235 0.3653  5 Pd 2.79-2.88
Bi2 0.8765 0.8765 0.6347  5 Pd 2.79-2.88
Pd1 0.1288 0.1288 0.9958  3 S 2.46-2.52
Pd2 0.3687 0.3687 0.4210  1 S 2.34
Pd3 0.5000 0.5000 0.0000  2 S 2.35
Pd4 0.6313 0.6313 0.5790  1 S 2.34
Pd5 0.8712 0.8712 0.0042  3 S 2.46-2.52
S1 0.3573 0.3573 0.1060  5 Pd 2.34-2.52
S2 0.6427 0.6427 0.8940  5 Pd 2.34-2.52

=====

The following is a DFT calculation (GGA-PBE) of crystalline Bi3PdS at its relaxed geometry.

Output
Fermi-level density of states, states/eV/atom: 1.172
Formation energy (no corrections), kJ per mole of atoms: 55.6
SG: No. 221
Energy relative to the lowest polymorph listed for this composition, eV per atom: 0.084

a b c (Å): 5.3178 5.3178 5.3178
angles (deg): 90.00 90.00 90.00
With the nearest neighbours (Å) after each atom.
Positions (direct):
Bi1 0.0000 0.0000 0.5000  2 S 2.66
Bi2 0.0000 0.5000 0.0000  2 S 2.66
Bi3 0.5000 0.0000 0.0000  2 S 2.66
Pd1 0.5000 0.5000 0.5000  12 Bi 3.76
S1 0.0000 0.0000 0.0000  6 Bi 2.66

=====

The following is a DFT calculation (GGA-PBE) of crystalline BiPd3S at its relaxed geometry.

Output
Fermi-level density of states, states/eV/atom: 0.755
Formation energy (no corrections), kJ per mole of atoms: -5.1
SG: No. 194
Energy relative to the lowest polymorph listed for this composition, eV per atom: 0.076

a b c (Å): 6.3324 6.3324 5.3852
angles (deg): 90.00 90.00 120.00
With the nearest neighbours (Å) after each atom.
Positions (direct):
Bi1 0.3333 0.6667 0.2500  12 Pd 3.13-3.17
Bi2 0.6667 0.3333 0.7500  12 Pd 3.13-3.17
Pd1 0.1874 0.3748 0.7500  2 S 2.46
Pd2 0.1874 0.8126 0.7500  2 S 2.46
Pd3 0.3748 0.1874 0.2500  2 S 2.46
Pd4 0.6252 0.8126 0.7500  2 S 2.46
Pd5 0.8126 0.1874 0.2500  2 S 2.46
Pd6 0.8126 0.6252 0.2500  2 S 2.46
S1 0.0000 0.0000 0.0000  6 Pd 2.46, 2 S 2.69
S2 0.0000 0.0000 0.5000  6 Pd 2.46, 2 S 2.69